6
Lattice="7.482 -2.180 0.000 7.482 2.180 0.000 -0.073 0.000 2.766" Properties=species:S:1:pos:R:3 comment="NpNiOs, optimized geometry, DFT GGA-PBE" vol_a3_per_atom=15.04 crystal_system=monoclinic polymorph_energy_mev_per_atom=7 pbc="T T T"
Np 3.145 0.000 1.333
Np 11.747 0.000 1.433
Ni 0.891 0.000 2.112
Ni 14.000 0.000 0.655
Os 6.265 0.000 2.054
Os 8.627 0.000 0.712